Record 1
A plane-wave DFT calculation with PBE was carried out for a relaxed SiB2C crystal.

ΔE_f (raw)   489 meV per atom
Energy above the lowest structure with this stoichiometry   227.4 meV per atom
Symmetry   No. 8

Geometry as extended XYZ:
```
8
Lattice="3.342 0.000 0.004 0.000 2.797 0.000 -2.100 0.000 7.789" Properties=species:S:1:pos:R:3 pbc="T T T"
Si 0.595 1.399 4.245
B -0.767 0.000 3.157
B -1.817 1.399 7.052
B -0.033 1.399 0.971
C -0.371 1.399 2.514
Si 1.645 0.000 0.350
C -1.420 0.000 6.408
B -1.082 0.000 4.866
```

Record 2
A plane-wave DFT calculation with PBE was carried out for a relaxed LiMgCoH6 crystal.

Symmetry   No. 149

Geometry as extended XYZ:
```
9
Lattice="-0.149 4.355 -0.739 -3.313 2.411 1.657 2.173 0.651 3.395" Properties=species:S:1:pos:R:3 pbc="T T T"
H 1.357 2.082 2.296
H -0.445 2.159 3.433
H -0.542 1.224 1.460
H 0.355 3.942 2.580
Li -1.222 4.836 2.309
Co -0.068 2.581 2.003
H 0.337 2.948 0.566
H -1.468 3.131 1.686
Mg -1.289 7.417 4.313
```

Record 3
A plane-wave DFT calculation with PBE was carried out for a relaxed CaTiCN2 crystal.

ΔE_f (raw)   1119 meV per atom
Symmetry   No. 123

Geometry as extended XYZ:
```
5
Lattice="-3.296 1.672 -0.812 -0.199 -4.061 -7.550 -1.857 -2.883 1.600" Properties=species:S:1:pos:R:3 pbc="T T T"
Ca -0.100 -2.031 -3.775
N -1.648 0.836 -0.406
C -2.676 -2.636 -3.381
Ti 0.000 0.000 0.000
N -0.928 -1.441 0.800
```

Record 4
A plane-wave DFT calculation with PBE was carried out for a relaxed PmMgScRh crystal.

Symmetry   No. 216
Formation enthalpy at 0 K   -34.21 kJ/mol of atoms

Geometry as extended XYZ:
```
4
Lattice="4.985 0.000 0.000 2.492 4.317 0.000 2.492 1.439 4.070" Properties=species:S:1:pos:R:3 pbc="T T T"
Pm 4.985 2.878 2.035
Rh 7.477 4.317 3.052
Mg 2.492 1.439 1.017
Sc 0.000 0.000 0.000
```

Record 5
A plane-wave DFT calculation with PBE was carried out for a relaxed Tl8AgHg2 crystal.

Symmetry   No. 12
Formation enthalpy at 0 K   4.94 kJ/mol of atoms

Geometry as extended XYZ:
```
11
Lattice="-5.111 0.353 0.019 -0.414 -5.650 -6.593 2.212 -2.827 8.015" Properties=species:S:1:pos:R:3 pbc="T T T"
Tl -3.182 -6.345 3.517
Hg -0.361 -5.066 -1.367
Tl -0.117 -1.459 1.258
Hg -2.952 -3.059 2.807
Tl -3.196 -6.665 0.182
Tl -2.783 -3.041 -0.435
Tl -2.965 -5.520 -3.327
Tl -0.530 -5.083 1.876
Tl -0.348 -2.605 4.768
Tl -0.130 -1.780 -2.077
Ag -2.555 0.176 0.009
```

Record 6
A plane-wave DFT calculation with PBE was carried out for a relaxed AsIrI2O crystal.

ΔE_f (raw)   264 meV per atom
Energy above the lowest structure with this stoichiometry   0.0 meV per atom
Symmetry   No. 123

Geometry as extended XYZ:
```
5
Lattice="-0.980 -2.137 -5.102 -4.969 -1.937 1.766 -1.615 3.203 -1.032" Properties=species:S:1:pos:R:3 pbc="T T T"
I -0.490 -1.069 -2.551
I -2.485 -0.968 0.883
As -3.782 -0.435 -2.184
O -0.807 1.602 -0.516
Ir 0.000 0.000 0.000
```

no.,raw total energy (eV per atom)
1,-6.511
2,-3.562
3,-6.035
4,-5.362
5,-1.984
6,-4.050